Record 1
Material: TaO4
Method: DFT, PBE-GGA
State: relaxed

Results
energy relative to the lowest polymorph listed for this composition = 209 meV/atom

Lattice parameters (Å, degrees): 9.257 2.976 4.712 90.00 118.53 90.00
Atoms (fractional coordinates):
1 Ta 0.000 0.000 0.000
2 Ta 0.500 0.500 0.000
3 O 0.086 0.500 0.855
4 O 0.208 0.000 0.475
5 O 0.292 0.500 0.525
6 O 0.414 0.000 0.145
7 O 0.586 0.000 0.855
8 O 0.708 0.500 0.475
9 O 0.792 0.000 0.525
10 O 0.914 0.500 0.145

***

Record 2
Material: Tb3TaO7
Method: DFT, PBE-GGA
State: relaxed

Results
raw total energy = -8.904 eV/atom

Lattice parameters (Å, degrees): 6.456 6.456 7.472 90.00 90.00 109.20
Atoms (fractional coordinates):
1 Tb 0.028 0.028 0.000
2 Tb 0.036 0.499 0.743
3 Tb 0.499 0.036 0.257
4 Tb 0.501 0.964 0.757
5 Tb 0.964 0.501 0.243
6 Tb 0.972 0.972 0.500
7 Ta 0.498 0.498 0.500
8 Ta 0.502 0.502 0.000
9 O 0.129 0.871 0.250
10 O 0.137 0.863 0.750
11 O 0.173 0.419 0.026
12 O 0.187 0.443 0.459
13 O 0.419 0.173 0.974
14 O 0.433 0.567 0.750
15 O 0.443 0.187 0.541
16 O 0.557 0.813 0.041
17 O 0.567 0.433 0.250
18 O 0.581 0.827 0.474
19 O 0.813 0.557 0.959
20 O 0.827 0.581 0.526
21 O 0.863 0.137 0.250
22 O 0.871 0.129 0.750

***

Record 3
Material: TaTe2O4
Method: DFT, PBE-GGA
State: relaxed

Results
raw total energy = -6.389 eV/atom

Lattice parameters (Å, degrees): 7.017 7.017 7.017 60.00 60.00 60.00
Atoms (fractional coordinates):
1 Ta 0.125 0.125 0.125
2 Ta 0.875 0.875 0.875
3 Te 0.000 0.500 0.500
4 Te 0.500 0.000 0.500
5 Te 0.500 0.500 0.000
6 Te 0.500 0.500 0.500
7 O 0.201 0.766 0.766
8 O 0.234 0.234 0.234
9 O 0.234 0.234 0.799
10 O 0.234 0.799 0.234
11 O 0.766 0.201 0.766
12 O 0.766 0.766 0.201
13 O 0.766 0.766 0.766
14 O 0.799 0.234 0.234

***

Record 4
Material: Ta2Te2O5
Method: DFT, PBE-GGA
State: relaxed

Results
energy relative to the lowest polymorph listed for this composition = 0 meV/atom

Lattice parameters (Å, degrees): 3.945 3.945 9.184 90.00 90.00 90.00
Atoms (fractional coordinates):
1 Ta 0.000 0.000 0.220
2 Ta 0.000 0.000 0.780
3 Te 0.500 0.500 0.000
4 Te 0.500 0.500 0.500
5 O 0.000 0.000 0.000
6 O 0.000 0.500 0.233
7 O 0.000 0.500 0.767
8 O 0.500 0.000 0.233
9 O 0.500 0.000 0.767

***

Record 5
Material: Ta2Te2O5
Method: DFT, PBE-GGA
State: relaxed

Results
energy relative to the lowest polymorph listed for this composition = 751 meV/atom

Lattice parameters (Å, degrees): 3.437 3.437 9.135 90.00 90.00 90.00
Atoms (fractional coordinates):
1 Ta 0.000 0.000 0.000
2 Ta 0.000 0.000 0.500
3 Te 0.500 0.500 0.186
4 Te 0.500 0.500 0.814
5 O 0.000 0.500 0.341
6 O 0.000 0.500 0.659
7 O 0.500 0.000 0.341
8 O 0.500 0.000 0.659
9 O 0.500 0.500 0.500

***

Record 6
Material: Ta2Tl2O5
Method: DFT, PBE-GGA
State: relaxed

Results
energy relative to the lowest polymorph listed for this composition = 1573 meV/atom

Lattice parameters (Å, degrees): 3.466 3.466 9.669 90.00 90.00 90.00
Atoms (fractional coordinates):
1 Ta 0.000 0.000 0.000
2 Ta 0.000 0.000 0.500
3 Tl 0.500 0.500 0.200
4 Tl 0.500 0.500 0.800
5 O 0.000 0.500 0.355
6 O 0.000 0.500 0.645
7 O 0.500 0.000 0.355
8 O 0.500 0.000 0.645
9 O 0.500 0.500 0.500

***

Record 7
Material: Ta2Tl2O5
Method: DFT, PBE-GGA
State: relaxed

Results
energy relative to the lowest polymorph listed for this composition = 0 meV/atom

Lattice parameters (Å, degrees): 5.255 5.282 6.877 93.63 109.14 116.41
Atoms (fractional coordinates):
1 Ta 0.000 0.000 0.000
2 Ta 0.355 0.666 0.027
3 Tl 0.447 0.207 0.601
4 Tl 0.963 0.515 0.390
5 O 0.018 0.289 0.825
6 O 0.178 0.870 0.837
7 O 0.332 0.393 0.214
8 O 0.579 0.709 0.823
9 O 0.790 0.945 0.210

***

Record 8
Material: Ta2Tl4O7
Method: DFT, PBE-GGA
State: relaxed

Results
raw total energy = -7.044 eV/atom

Lattice parameters (Å, degrees): 6.139 6.139 7.870 90.00 90.00 120.00
Atoms (fractional coordinates):
1 Ta 0.000 0.000 0.244
2 Ta 0.000 0.000 0.756
3 Tl 0.333 0.667 0.099
4 Tl 0.333 0.667 0.578
5 Tl 0.667 0.333 0.422
6 Tl 0.667 0.333 0.901
7 O 0.000 0.000 0.000
8 O 0.165 0.330 0.316
9 O 0.165 0.835 0.316
10 O 0.330 0.165 0.684
11 O 0.670 0.835 0.316
12 O 0.835 0.165 0.684
13 O 0.835 0.670 0.684

***

Record 9
Material: Ta2Tl2O5
Method: DFT, PBE-GGA
State: relaxed

Results
energy relative to the lowest polymorph listed for this composition = 70 meV/atom

Lattice parameters (Å, degrees): 3.983 3.983 8.838 90.00 90.00 90.00
Atoms (fractional coordinates):
1 Ta 0.000 0.000 0.227
2 Ta 0.000 0.000 0.773
3 Tl 0.500 0.500 0.000
4 Tl 0.500 0.500 0.500
5 O 0.000 0.000 0.000
6 O 0.000 0.500 0.241
7 O 0.000 0.500 0.759
8 O 0.500 0.000 0.241
9 O 0.500 0.000 0.759

***

Record 10
Material: Tm2TaO4
Method: DFT, PBE-GGA
State: relaxed

Results
raw total energy = -8.328 eV/atom

Lattice parameters (Å, degrees): 6.537 6.537 6.537 60.00 60.00 60.00
Atoms (fractional coordinates):
1 Tm 0.000 0.000 0.000
2 Tm 0.000 0.000 0.500
3 Tm 0.000 0.500 0.000
4 Tm 0.500 0.000 0.000
5 Ta 0.375 0.375 0.375
6 Ta 0.625 0.625 0.625
7 O 0.227 0.758 0.758
8 O 0.242 0.242 0.242
9 O 0.242 0.242 0.773
10 O 0.242 0.773 0.242
11 O 0.758 0.227 0.758
12 O 0.758 0.758 0.227
13 O 0.758 0.758 0.758
14 O 0.773 0.242 0.242

***

Record 11
Material: TmTa2O6
Method: DFT, PBE-GGA
State: relaxed

Results
raw total energy = -9.335 eV/atom

Lattice parameters (Å, degrees): 3.914 3.914 7.865 90.00 90.00 90.00
Atoms (fractional coordinates):
1 Tm 0.000 0.000 0.000
2 Ta 0.500 0.500 0.255
3 Ta 0.500 0.500 0.745
4 O 0.000 0.500 0.208
5 O 0.000 0.500 0.792
6 O 0.500 0.000 0.208
7 O 0.500 0.000 0.792
8 O 0.500 0.500 0.000
9 O 0.500 0.500 0.500

***

Record 12
Material: TmTa4Zn3O12
Method: DFT, PBE-GGA
State: relaxed

Results
raw total energy = -7.869 eV/atom

Lattice parameters (Å, degrees): 6.676 6.676 6.676 109.47 109.47 109.47
Atoms (fractional coordinates):
1 Tm 0.000 0.000 0.000
2 Ta 0.000 0.000 0.500
3 Ta 0.000 0.500 0.000
4 Ta 0.500 0.000 0.000
5 Ta 0.500 0.500 0.500
6 Zn 0.000 0.500 0.500
7 Zn 0.500 0.000 0.500
8 Zn 0.500 0.500 0.000
9 O 0.115 0.296 0.819
10 O 0.181 0.477 0.296
11 O 0.181 0.885 0.704
12 O 0.296 0.181 0.477
13 O 0.296 0.819 0.115
14 O 0.477 0.296 0.181
15 O 0.523 0.704 0.819
16 O 0.704 0.181 0.885
17 O 0.704 0.819 0.523
18 O 0.819 0.115 0.296
19 O 0.819 0.523 0.704
20 O 0.885 0.704 0.181

***

Record 13
Material: Y2Ta2O5
Method: DFT, PBE-GGA
State: relaxed

Results
energy relative to the lowest polymorph listed for this composition = 167 meV/atom

Lattice parameters (Å, degrees): 3.468 3.468 9.968 90.00 90.00 90.00
Atoms (fractional coordinates):
1 Y 0.000 0.000 0.235
2 Y 0.000 0.000 0.765
3 Ta 0.500 0.500 0.000
4 Ta 0.500 0.500 0.500
5 O 0.000 0.000 0.000
6 O 0.000 0.500 0.380
7 O 0.000 0.500 0.620
8 O 0.500 0.000 0.380
9 O 0.500 0.000 0.620

***

Record 14
Material: Y2Ta2O5
Method: DFT, PBE-GGA
State: relaxed

Results
energy relative to the lowest polymorph listed for this composition = 0 meV/atom

Lattice parameters (Å, degrees): 4.002 4.002 7.121 90.00 90.00 90.00
Atoms (fractional coordinates):
1 Y 0.000 0.000 0.000
2 Y 0.000 0.000 0.500
3 Ta 0.500 0.500 0.196
4 Ta 0.500 0.500 0.804
5 O 0.000 0.500 0.252
6 O 0.000 0.500 0.748
7 O 0.500 0.000 0.252
8 O 0.500 0.000 0.748
9 O 0.500 0.500 0.500

***

Record 15
Material: Ta2ZnO6
Method: DFT, PBE-GGA
State: relaxed

Results
raw total energy = -8.601 eV/atom

Lattice parameters (Å, degrees): 4.703 17.125 5.073 90.00 90.00 90.00
Atoms (fractional coordinates):
1 Ta 0.000 0.056 0.250
2 Ta 0.000 0.280 0.750
3 Ta 0.000 0.720 0.250
4 Ta 0.000 0.944 0.750
5 Ta 0.500 0.220 0.250
6 Ta 0.500 0.444 0.750
7 Ta 0.500 0.556 0.250
8 Ta 0.500 0.780 0.750
9 Zn 0.000 0.397 0.250
10 Zn 0.000 0.603 0.750
11 Zn 0.500 0.103 0.750
12 Zn 0.500 0.897 0.250
13 O 0.221 0.035 0.572
14 O 0.221 0.965 0.072
15 O 0.232 0.371 0.598
16 O 0.232 0.629 0.098
17 O 0.239 0.291 0.075
18 O 0.239 0.709 0.575
19 O 0.261 0.209 0.575
20 O 0.261 0.791 0.075
21 O 0.268 0.129 0.098
22 O 0.268 0.871 0.598
23 O 0.279 0.465 0.072
24 O 0.279 0.535 0.572
25 O 0.721 0.465 0.428
26 O 0.721 0.535 0.928
27 O 0.732 0.129 0.402
28 O 0.732 0.871 0.902
29 O 0.739 0.209 0.925
30 O 0.739 0.791 0.425
31 O 0.761 0.291 0.425
32 O 0.761 0.709 0.925
33 O 0.768 0.371 0.902
34 O 0.768 0.629 0.402
35 O 0.779 0.035 0.928
36 O 0.779 0.965 0.428

***

Record 16
Material: TaZnO3
Method: DFT, PBE-GGA
State: relaxed

Results
raw total energy = -7.574 eV/atom

Lattice parameters (Å, degrees): 5.280 7.571 5.489 90.00 90.00 90.00
Atoms (fractional coordinates):
1 Ta 0.000 0.000 0.000
2 Ta 0.000 0.500 0.000
3 Ta 0.500 0.000 0.500
4 Ta 0.500 0.500 0.500
5 Zn 0.041 0.250 0.492
6 Zn 0.459 0.750 0.992
7 Zn 0.541 0.250 0.008
8 Zn 0.959 0.750 0.508
9 O 0.004 0.750 0.140
10 O 0.185 0.568 0.688
11 O 0.185 0.932 0.688
12 O 0.315 0.068 0.188
13 O 0.315 0.432 0.188
14 O 0.496 0.250 0.640
15 O 0.504 0.750 0.360
16 O 0.685 0.568 0.812
17 O 0.685 0.932 0.812
18 O 0.815 0.068 0.312
19 O 0.815 0.432 0.312
20 O 0.996 0.250 0.860

***

Record 17
Material: TaZn6O8
Method: DFT, PBE-GGA
State: relaxed

Results
raw total energy = -5.412 eV/atom

Lattice parameters (Å, degrees): 6.171 6.171 6.171 60.00 60.00 60.00
Atoms (fractional coordinates):
1 Ta 0.000 0.000 0.000
2 Zn 0.000 0.000 0.500
3 Zn 0.000 0.500 0.000
4 Zn 0.000 0.500 0.500
5 Zn 0.500 0.000 0.000
6 Zn 0.500 0.000 0.500
7 Zn 0.500 0.500 0.000
8 O 0.231 0.231 0.769
9 O 0.231 0.769 0.231
10 O 0.231 0.769 0.769
11 O 0.250 0.250 0.250
12 O 0.750 0.750 0.750
13 O 0.769 0.231 0.231
14 O 0.769 0.231 0.769
15 O 0.769 0.769 0.231

***

Record 18
Material: TaZnO3
Method: DFT, PBE-GGA
State: relaxed

Results
raw total energy = -7.595 eV/atom

Lattice parameters (Å, degrees): 5.326 5.326 5.326 61.62 61.62 61.62
Atoms (fractional coordinates):
1 Ta 0.000 0.000 0.000
2 Ta 0.500 0.500 0.500
3 Zn 0.250 0.250 0.250
4 Zn 0.750 0.750 0.750
5 O 0.117 0.750 0.383
6 O 0.250 0.617 0.883
7 O 0.383 0.117 0.750
8 O 0.617 0.883 0.250
9 O 0.750 0.383 0.117
10 O 0.883 0.250 0.617

***

Record 19
Material: Ta2ZnO6
Method: DFT, PBE-GGA
State: relaxed

Results
raw total energy = -8.600 eV/atom

Lattice parameters (Å, degrees): 4.747 4.747 10.363 90.00 117.02 90.00
Atoms (fractional coordinates):
1 Ta 0.167 0.007 0.168
2 Ta 0.167 0.493 0.668
3 Ta 0.833 0.507 0.332
4 Ta 0.833 0.993 0.832
5 Zn 0.500 0.000 0.500
6 Zn 0.500 0.500 0.000
7 O 0.118 0.205 0.323
8 O 0.118 0.295 0.823
9 O 0.189 0.690 0.500
10 O 0.189 0.810 0.000
11 O 0.475 0.204 0.677
12 O 0.475 0.296 0.177
13 O 0.525 0.704 0.823
14 O 0.525 0.796 0.323
15 O 0.811 0.190 0.000
16 O 0.811 0.310 0.500
17 O 0.882 0.705 0.177
18 O 0.882 0.795 0.677

***

What magnetic moment values result from the calculations? In sequence: 0.00; 0.00; 0.00; 1.49; 1.00; 2.58; 0.00; 0.01; 0.25; 2.72; 0.01; 0.16; 0.01; 0.01; 0.00; 0.01; 0.00; 0.02; 0.00 μB per formula unit.